DFT (GGA-PBE) results for CeHoI4 after structural relaxation.

Cell lengths 7.3378, 4.1726, 8.3471 Å; angles 90.00, 105.82, 90.00 degrees
Closest atoms and distances in Å follow each position.
Atoms (fractional coordinates):
1 Ce 0.0000 0.0000 0.0000  6 I 3.19-3.20
2 Ho 0.5000 0.5000 0.0000  6 I 3.08-3.09
3 I 0.2601 0.5000 0.2526  1 Ho 3.09, 2 Ce 3.20
4 I 0.2683 0.0000 0.7564  2 Ho 3.08, 1 Ce 3.19
5 I 0.7317 0.0000 0.2436  2 Ho 3.08, 1 Ce 3.19
6 I 0.7399 0.5000 0.7474  1 Ho 3.09, 2 Ce 3.20

Output
* E_form (uncorrected): -1.202 eV per atom
* space-group type: P2/m